Entry 1:
VASP calculation (GGA-PBE) on SnIrAuSe3 after structural relaxation.

```
data_SnIrAuSe3
_chemical_formula_sum 'Sn4 Ir4 Au4 Se12'
_cell_length_a 3.839
_cell_length_b 15.214
_cell_length_c 9.782
_cell_angle_alpha 90.00
_cell_angle_beta 90.00
_cell_angle_gamma 90.00
_space_group_name_H-M_alt 'C m c m'
_space_group_IT_number 63
_space_group_name_Hall '-C 2c 2'
loop_
_atom_site_label
_atom_site_fract_x
_atom_site_fract_y
_atom_site_fract_z
Sn1 0.000 0.179 0.250
Ir1 0.000 0.500 0.000
Au1 0.000 0.186 0.750
Se1 0.000 0.107 0.521
Se2 0.000 0.454 0.750
```

Computed properties:
DFT total energy	-4.668	eV/atom



Entry 2:
VASP calculation (GGA-PBE) on GdY2Zn3Ga2Au after structural relaxation.

```
data_GdY2Zn3Ga2Au
_chemical_formula_sum 'Gd2 Y4 Zn6 Ga4 Au2'
_cell_length_a 4.248
_cell_length_b 12.311
_cell_length_c 7.087
_cell_angle_alpha 90.00
_cell_angle_beta 90.00
_cell_angle_gamma 90.00
_space_group_name_H-M_alt 'A m m 2'
_space_group_IT_number 38
loop_
_space_group_symop_operation_xyz
'x,y,z'
'-x,-y,z'
'-x,y,z'
'x,-y,z'
'x,y+1/2,z+1/2'
'-x,-y+1/2,z+1/2'
'-x,y+1/2,z+1/2'
'x,-y+1/2,z+1/2'
loop_
_atom_site_label
_atom_site_fract_x
_atom_site_fract_y
_atom_site_fract_z
Gd1 0.000 0.000 0.000
Y1 0.000 0.209 0.625
Zn1 0.500 0.000 0.665
Zn2 0.500 0.124 0.293
Ga1 0.500 0.167 0.917
Au1 0.000 0.000 0.419
```

Computed properties:
DFT total energy	-4.021	eV/atom



Entry 3:
VASP calculation (GGA-PBE) on Zn2Sn after structural relaxation.

```
data_Zn2Sn
_chemical_formula_sum 'Zn8 Sn4'
_cell_length_a 10.411
_cell_length_b 5.058
_cell_length_c 4.452
_cell_angle_alpha 90.00
_cell_angle_beta 90.00
_cell_angle_gamma 90.00
_space_group_name_H-M_alt 'C m c m'
_space_group_IT_number 63
_space_group_name_Hall '-C 2c 2'
loop_
_atom_site_label
_atom_site_fract_x
_atom_site_fract_y
_atom_site_fract_z
Zn1 0.205 0.147 0.250
Sn1 0.000 0.266 0.750
```

Computed properties:
DFT total energy	-2.078	eV/atom



Entry 4:
VASP calculation (GGA-PBE) on Cu2SiS3 after structural relaxation.

```
data_Cu2SiS3
_chemical_formula_sum 'Cu4 Si2 S6'
_cell_length_a 3.669
_cell_length_b 10.985
_cell_length_c 5.288
_cell_angle_alpha 90.00
_cell_angle_beta 90.00
_cell_angle_gamma 90.00
_space_group_name_H-M_alt 'I m m 2'
_space_group_IT_number 44
loop_
_space_group_symop_operation_xyz
'x,y,z'
'-x,-y,z'
'-x,y,z'
'x,-y,z'
'x+1/2,y+1/2,z+1/2'
'-x+1/2,-y+1/2,z+1/2'
'-x+1/2,y+1/2,z+1/2'
'x+1/2,-y+1/2,z+1/2'
loop_
_atom_site_label
_atom_site_fract_x
_atom_site_fract_y
_atom_site_fract_z
Cu1 0.000 0.165 0.000
Si1 0.000 0.500 0.966
S1 0.000 0.000 0.723
S2 0.000 0.337 0.755
```

Computed properties:
DFT total energy	-4.643	eV/atom



Entry 5:
VASP calculation (GGA-PBE) on PrNbIn after structural relaxation.

```
data_PrNbIn
_chemical_formula_sum 'Pr4 Nb4 In4'
_cell_length_a 7.003
_cell_length_b 7.003
_cell_length_c 7.003
_cell_angle_alpha 90.00
_cell_angle_beta 90.00
_cell_angle_gamma 90.00
_space_group_name_H-M_alt 'F -4 3 m'
_space_group_IT_number 216
_space_group_name_Hall 'F -4 2 3'
loop_
_atom_site_label
_atom_site_fract_x
_atom_site_fract_y
_atom_site_fract_z
Pr1 0.000 0.000 0.000
Nb1 0.000 0.000 0.500
In1 0.250 0.250 0.750
```

Computed properties:
relative energy among the computed polymorphs	0.0000	eV/atom



Entry 6:
VASP calculation (GGA-PBE) on Pr2SmCo2B2As3 after structural relaxation.

```
data_Pr2SmCo2B2As3
_chemical_formula_sum 'Pr4 Sm2 Co4 B4 As6'
_cell_length_a 4.064
_cell_length_b 4.064
_cell_length_c 22.842
_cell_angle_alpha 90.00
_cell_angle_beta 90.00
_cell_angle_gamma 90.00
_space_group_name_H-M_alt 'I 4/m m m'
_space_group_IT_number 139
_space_group_name_Hall '-I 4 2'
loop_
_atom_site_label
_atom_site_fract_x
_atom_site_fract_y
_atom_site_fract_z
Pr1 0.000 0.000 0.143
Sm1 0.000 0.000 0.500
Co1 0.000 0.500 0.250
B1 0.000 0.000 0.281
As1 0.000 0.000 0.000
As2 0.000 0.000 0.374
```

Computed properties:
DFT total energy	-6.280	eV/atom



Entry 7:
VASP calculation (GGA-PBE) on CsBeTe3Ir after structural relaxation.

```
data_CsBeTe3Ir
_chemical_formula_sum 'Cs4 Be4 Te12 Ir4'
_cell_length_a 4.142
_cell_length_b 16.879
_cell_length_c 10.579
_cell_angle_alpha 90.00
_cell_angle_beta 90.00
_cell_angle_gamma 90.00
_space_group_name_H-M_alt 'C m c m'
_space_group_IT_number 63
_space_group_name_Hall '-C 2c 2'
loop_
_atom_site_label
_atom_site_fract_x
_atom_site_fract_y
_atom_site_fract_z
Cs1 0.000 0.248 0.250
Be1 0.000 0.467 0.750
Te1 0.000 0.053 0.750
Te2 0.000 0.400 0.547
Ir1 0.000 0.000 0.000
```

Computed properties:
DFT total energy	-4.191	eV/atom



Entry 8:
VASP calculation (GGA-PBE) on HoThPt after structural relaxation.

```
data_HoThPt
_chemical_formula_sum 'Ho4 Th4 Pt4'
_cell_length_a 6.998
_cell_length_b 6.998
_cell_length_c 6.998
_cell_angle_alpha 90.00
_cell_angle_beta 90.00
_cell_angle_gamma 90.00
_space_group_name_H-M_alt 'F -4 3 m'
_space_group_IT_number 216
_space_group_name_Hall 'F -4 2 3'
loop_
_atom_site_label
_atom_site_fract_x
_atom_site_fract_y
_atom_site_fract_z
Ho1 0.000 0.000 0.000
Th1 0.000 0.000 0.500
Pt1 0.250 0.250 0.250
```

Computed properties:
relative energy among the computed polymorphs	0.0000	eV/atom
energy of formation from the pure elements	-2.05	eV/f.u.



Entry 9:
VASP calculation (GGA-PBE) on Er2U2Ga after structural relaxation.

```
data_Er2U2Ga
_chemical_formula_sum 'Er4 U4 Ga2'
_cell_length_a 5.1843
_cell_length_b 5.1843
_cell_length_c 10.9853
_cell_angle_alpha 90.00
_cell_angle_beta 90.00
_cell_angle_gamma 120.00
_space_group_name_H-M_alt 'P 63/m m c'
_space_group_IT_number 194
_space_group_name_Hall '-P 6c 2c'
loop_
_atom_site_label
_atom_site_fract_x
_atom_site_fract_y
_atom_site_fract_z
Er1 0.0000 0.0000 0.0000
Er2 0.3333 0.6667 0.2500
U1 0.3333 0.6667 0.6354
Ga1 0.0000 0.0000 0.2500
```

Computed properties:
DFT total energy	-6.647	eV/atom



Entry 10:
VASP calculation (GGA-PBE) on KNbPdSe3 after structural relaxation.

```
data_KNbPdSe3
_chemical_formula_sum 'K2 Nb2 Pd2 Se6'
_cell_length_a 8.263
_cell_length_b 3.754
_cell_length_c 10.175
_cell_angle_alpha 90.00
_cell_angle_beta 113.40
_cell_angle_gamma 90.00
_space_group_name_H-M_alt 'P 1 21/m 1'
_space_group_IT_number 11
loop_
_space_group_symop_operation_xyz
'x,y,z'
'-x,-y,-z'
'-x,y+1/2,-z'
'x,-y+1/2,z'
loop_
_atom_site_label
_atom_site_fract_x
_atom_site_fract_y
_atom_site_fract_z
K1 0.231 0.250 0.212
Nb1 0.209 0.750 0.674
Pd1 0.420 0.250 0.883
Se1 0.048 0.750 0.381
Se2 0.237 0.750 0.933
Se3 0.406 0.250 0.632
```

Computed properties:
DFT total energy	-5.325	eV/atom



Entry 11:
VASP calculation (GGA-PBE) on TmScZnNi2 after structural relaxation.

```
data_TmScZnNi2
_chemical_formula_sum 'Tm2 Sc2 Zn2 Ni4'
_cell_length_a 4.159
_cell_length_b 5.251
_cell_length_c 7.717
_cell_angle_alpha 90.00
_cell_angle_beta 90.00
_cell_angle_gamma 90.00
_space_group_name_H-M_alt 'I m m 2'
_space_group_IT_number 44
loop_
_space_group_symop_operation_xyz
'x,y,z'
'-x,-y,z'
'-x,y,z'
'x,-y,z'
'x+1/2,y+1/2,z+1/2'
'-x+1/2,-y+1/2,z+1/2'
'-x+1/2,y+1/2,z+1/2'
'x+1/2,-y+1/2,z+1/2'
loop_
_atom_site_label
_atom_site_fract_x
_atom_site_fract_y
_atom_site_fract_z
Tm1 0.000 0.000 0.000
Sc1 0.000 0.000 0.408
Zn1 0.000 0.500 0.202
Ni1 0.000 0.271 0.702
```

Computed properties:
energy of formation from the pure elements	-2.51	eV/f.u.



Entry 12:
VASP calculation (GGA-PBE) on HfBeAgAu after structural relaxation.

```
data_HfBeAgAu
_chemical_formula_sum 'Hf4 Be4 Ag4 Au4'
_cell_length_a 6.381
_cell_length_b 6.381
_cell_length_c 6.381
_cell_angle_alpha 90.00
_cell_angle_beta 90.00
_cell_angle_gamma 90.00
_space_group_name_H-M_alt 'F -4 3 m'
_space_group_IT_number 216
_space_group_name_Hall 'F -4 2 3'
loop_
_atom_site_label
_atom_site_fract_x
_atom_site_fract_y
_atom_site_fract_z
Hf1 0.000 0.000 0.000
Be1 0.250 0.250 0.750
Ag1 0.250 0.250 0.250
Au1 0.000 0.000 0.500
```

Computed properties:
relative energy among the computed polymorphs	0.0959	eV/atom